Compound: Al3CdCl
Source: the Alexandria database
Functional: PBE
Structure: optimized geometry

```
Al3CdCl
1.0
5.2022 0.0000 0.0000
0.0000 5.2022 0.0000
0.0000 0.0000 5.2022
Al Cd Cl
3 1 1
Direct
0.0000 0.0000 0.5000
0.0000 0.5000 0.0000
0.5000 0.0000 0.0000
0.0000 0.0000 0.0000
0.5000 0.5000 0.5000
```

Size of the total moment in μB per formula unit: 0.000
E_tot in eV/atom: -2.3239
D(E_F) in states/eV/atom: 0.57
ρ in g/cm3: 2.7
Space group: Pm-3m
E above lowest polymorph in kcal/mol of atoms: 0.000